Material: NiRhCl4
Method: DFT, meta-GGA SCAN
State: PBEsol geometry

Output
Density of states at the Fermi level: 1.716 states/eV per atom
Energy relative to the elements, uncorrected: 1.283 eV per atom
Crystal system: cubic
SG: No. 216
V: 19.023 Å³ per atom

Unit cell a=5.445 b=5.445 c=5.445 alpha=60.00 beta=60.00 gamma=60.00
Sites, in units of the cell vectors:
1 Ni 0.000 0.000 0.000
2 Rh 0.750 0.750 0.750
3 Cl 0.375 0.375 0.375
4 Cl 0.375 0.375 0.875
5 Cl 0.375 0.875 0.375
6 Cl 0.875 0.375 0.375